No. 1
# Ba2GaSb3Pt4 (PBE-GGA, optimized geometry)
data_Ba2GaSb3Pt4
_symmetry_space_group_name_H-M 'P -4 m 2'
_symmetry_Int_Tables_number 115
_symmetry_space_group_name_Hall 'P -4 -2'
_cell_length_a 4.738
_cell_length_b 4.738
_cell_length_c 10.691
_cell_angle_alpha 90.00
_cell_angle_beta 90.00
_cell_angle_gamma 90.00
loop_
_atom_site_label
_atom_site_type_symbol
_atom_site_fract_x
_atom_site_fract_y
_atom_site_fract_z
_atom_site_occupancy
Ba1 Ba 0.000 0.500 0.250 1
Ga1 Ga 0.000 0.000 0.500 1
Sb1 Sb 0.000 0.500 0.874 1
Sb2 Sb 0.500 0.500 0.500 1
Pt1 Pt 0.000 0.000 0.000 1
Pt2 Pt 0.000 0.500 0.617 1
Pt3 Pt 0.500 0.500 0.000 1
# Crystal system ... tetragonal
# Energy relative to the elements, uncorrected ... -8.1 eV/f.u.
# Total moment ... 0.00 μB/cell


No. 2
# TmThZr2 (PBE-GGA, optimized geometry)
data_TmThZr2
_symmetry_space_group_name_H-M 'P 4/m m m'
_symmetry_Int_Tables_number 123
_symmetry_space_group_name_Hall '-P 4 2'
_cell_length_a 3.947
_cell_length_b 3.947
_cell_length_c 6.925
_cell_angle_alpha 90.00
_cell_angle_beta 90.00
_cell_angle_gamma 90.00
loop_
_atom_site_label
_atom_site_type_symbol
_atom_site_fract_x
_atom_site_fract_y
_atom_site_fract_z
_atom_site_occupancy
Tm1 Tm 0.000 0.000 0.000 1
Th1 Th 0.000 0.000 0.500 1
Zr1 Zr 0.500 0.500 0.277 1
# Energy relative to the elements ... 0.105 eV/atom
# Crystal system ... tetragonal
# Total moment ... 0.00 μB/cell